A relaxed Sr3Cd2Ga4 crystal. Source: Alexandria via LeMat-Bulk, functional PBE-GGA.

```
9
Lattice="4.6585 0.0000 1.2427 1.9355 5.5692 2.0974 0.0293 0.1573 9.2432" Properties=species:S:1:pos:R:3 pbc="T T T"
Sr 2.8648 3.8882 7.9668
Sr 0.0000 0.0000 0.0000
Sr 3.7585 1.8383 4.6165
Cd 3.6631 5.2450 4.9741
Cd 2.9601 0.4814 7.6092
Ga 2.0044 2.3141 1.8390
Ga 4.6188 3.4124 10.7443
Ga 0.7647 1.8314 6.4863
Ga 5.8585 3.8950 6.0970
```

Space-group type: No. 12
DOS(E_F): 4.2 states/eV per cell
Energy: -2.51 eV per atom



A relaxed VFe4Tc crystal. Source: Alexandria via LeMat-Bulk, functional PBE-GGA.

```
6
Lattice="-1.5790 3.8219 2.1308 -4.1762 -0.0367 2.0490 -0.3155 0.1140 4.6398" Properties=species:S:1:pos:R:3 pbc="T T T"
V -1.5177 0.9748 2.2049
Tc 0.0000 0.0000 0.0000
Fe -3.6351 2.3790 3.1951
Fe -1.7091 2.4542 4.4876
Fe -3.7925 2.4359 5.5098
Fe -3.0047 0.5293 4.4468
```

Space-group type: No. 216
DOS(E_F): 10.5 states/eV per cell
Energy: -8.88 eV per atom



A relaxed SmEr4Cd3 crystal. Source: Alexandria via LeMat-Bulk, functional PBE-GGA.

```
8
Lattice="5.0873 0.0000 1.5017 2.3220 4.5265 1.5017 -0.0378 -0.0231 9.4960" Properties=species:S:1:pos:R:3 pbc="T T T"
Cd 1.9071 1.1651 2.9074
Cd 5.4644 3.3383 9.5920
Cd 3.6858 2.2517 6.2497
Sm 0.0000 0.0000 0.0000
Er 6.4300 3.9282 6.3210
Er 2.8368 1.7331 9.1255
Er 0.9415 0.5752 6.1784
Er 4.5347 2.7703 3.3739
```

Space-group type: No. 166
DOS(E_F): 8.9 states/eV per cell
Energy: -3.37 eV per atom



A relaxed RuPbCl2 crystal. Source: Alexandria via LeMat-Bulk, functional PBE-GGA.

```
4
Lattice="3.2820 0.0000 0.0000 0.0000 4.6995 0.0200 0.0000 2.2583 6.9010" Properties=species:S:1:pos:R:3 pbc="T T T"
Pb 0.0000 3.7625 3.8265
Ru 1.6410 6.1097 4.7542
Cl 0.0000 6.1008 6.3958
Cl 1.6410 1.4219 2.3265
```

Space-group type: No. 6
DOS(E_F): 4.2 states/eV per cell
ΔE to the lowest computed polymorph: 0.20 eV/f.u.
Uncorrected formation energy: -150 meV/atom
Energy: -4.32 eV per atom



A relaxed TbPm3Sn2 crystal. Source: Alexandria via LeMat-Bulk, functional PBE-GGA.

```
6
Lattice="-1.1972 -4.0634 1.8172 -1.3200 -1.4730 -4.1635 8.0391 -3.0292 -1.4771" Properties=species:S:1:pos:R:3 pbc="T T T"
Tb -1.2586 -2.7682 -1.1732
Pm 2.2100 -3.0900 0.3925
Pm 4.5705 -2.7074 -3.0428
Pm 0.0000 0.0000 0.0000
Sn 5.2048 -4.2185 -0.1578
Sn 1.5756 -1.5789 -2.4925
```

Space-group type: No. 115
DOS(E_F): 7.4 states/eV per cell
ΔE to the lowest computed polymorph: 0.00 eV/f.u.
Energy: -5.06 eV per atom



A relaxed CaTlSbI6 crystal. Source: Alexandria via LeMat-Bulk, functional PBE-GGA.

```
9
Lattice="-0.6541 1.7261 -7.7312 6.1855 -1.1297 -4.8616 -2.4089 -7.1733 -1.3985" Properties=species:S:1:pos:R:3 pbc="T T T"
Ca 2.4832 -3.1892 -9.0942
Tl -3.0629 -5.4471 -9.1295
Sb 0.6393 -3.3878 -4.8969
I 1.5569 -2.3162 -2.1836
I -1.9385 -4.6384 -3.8294
I 0.0347 -4.5551 -7.6576
I 2.1515 -5.9449 -4.1730
I 3.0374 -2.0272 -6.2185
I -1.0054 -0.8452 -5.3180
```

Space-group type: No. 149
DOS(E_F): 0.0 states/eV per cell
Uncorrected formation energy: -827 meV/atom
Energy: -2.80 eV per atom